# Rb2TaMoPt PBE relaxed
# calculated total energy: -20.87 eV per cell
# crystal system: tetragonal
data_Rb2TaMoPt
_cell_length_a 6.723
_cell_length_b 6.723
_cell_length_c 4.622
_cell_angle_alpha 90.00
_cell_angle_beta 90.00
_cell_angle_gamma 90.00
_symmetry_space_group_name_H-M 'P 4/m m m'
_symmetry_Int_Tables_number 123
_symmetry_space_group_name_Hall '-P 4 2'
loop_
_atom_site_label
_atom_site_fract_x
_atom_site_fract_y
_atom_site_fract_z
_atom_site_occupancy
Rb1 0.000 0.500 0.000 1
Ta1 0.000 0.000 0.000 1
Mo1 0.000 0.000 0.500 1
Pt1 0.500 0.500 0.500 1

---

# RbTlMo2Pt PBE relaxed
# calculated total energy: -16.95 eV per cell
# crystal system: tetragonal
data_RbTlMo2Pt
_cell_length_a 5.247
_cell_length_b 5.247
_cell_length_c 5.189
_cell_angle_alpha 90.00
_cell_angle_beta 90.00
_cell_angle_gamma 90.00
_symmetry_space_group_name_H-M 'P 4/m m m'
_symmetry_Int_Tables_number 123
_symmetry_space_group_name_Hall '-P 4 2'
loop_
_atom_site_label
_atom_site_fract_x
_atom_site_fract_y
_atom_site_fract_z
_atom_site_occupancy
Rb1 0.000 0.000 0.000 1
Tl1 0.500 0.500 0.500 1
Mo1 0.000 0.500 0.000 1
Pt1 0.000 0.000 0.500 1

---

# ReMoPt PBE relaxed
# calculated total energy: -59.06 eV per cell
# energy relative to the lowest polymorph listed for this composition: 0.000 eV/atom
# crystal system: orthorhombic
data_ReMoPt
_cell_length_a 2.664
_cell_length_b 4.113
_cell_length_c 8.424
_cell_angle_alpha 90.00
_cell_angle_beta 90.00
_cell_angle_gamma 90.00
_symmetry_space_group_name_H-M 'I m m 2'
_symmetry_Int_Tables_number 44
loop_
_symmetry_equiv_pos_as_xyz
'x,y,z'
'-x,-y,z'
'-x,y,z'
'x,-y,z'
'x+1/2,y+1/2,z+1/2'
'-x+1/2,-y+1/2,z+1/2'
'-x+1/2,y+1/2,z+1/2'
'x+1/2,-y+1/2,z+1/2'
loop_
_atom_site_label
_atom_site_fract_x
_atom_site_fract_y
_atom_site_fract_z
_atom_site_occupancy
Re1 0.000 0.000 0.000 1
Mo1 0.000 0.000 0.664 1
Pt1 0.000 0.000 0.334 1

---

# Re2MoPt PBE relaxed
# calculated total energy: -41.14 eV per cell
# energy relative to the lowest polymorph listed for this composition: 0.274 eV/atom
# crystal system: tetragonal
data_Re2MoPt
_cell_length_a 3.302
_cell_length_b 3.302
_cell_length_c 5.669
_cell_angle_alpha 90.00
_cell_angle_beta 90.00
_cell_angle_gamma 90.00
_symmetry_space_group_name_H-M 'P 4/m m m'
_symmetry_Int_Tables_number 123
_symmetry_space_group_name_Hall '-P 4 2'
loop_
_atom_site_label
_atom_site_fract_x
_atom_site_fract_y
_atom_site_fract_z
_atom_site_occupancy
Re1 0.000 0.000 0.249 1
Mo1 0.500 0.500 0.000 1
Pt1 0.500 0.500 0.500 1

---

# Re2MoPt PBE relaxed
# calculated total energy: -83.58 eV per cell
# energy relative to the lowest polymorph listed for this composition: 0.110 eV/atom
# crystal system: monoclinic
data_Re2MoPt
_cell_length_a 9.241
_cell_length_b 2.757
_cell_length_c 4.860
_cell_angle_alpha 90.00
_cell_angle_beta 99.60
_cell_angle_gamma 90.00
_symmetry_space_group_name_H-M 'C 1 2/m 1'
_symmetry_Int_Tables_number 12
loop_
_symmetry_equiv_pos_as_xyz
'x,y,z'
'-x,-y,-z'
'-x,y,-z'
'x,-y,z'
'x+1/2,y+1/2,z'
'-x+1/2,-y+1/2,-z'
'-x+1/2,y+1/2,-z'
'x+1/2,-y+1/2,z'
loop_
_atom_site_label
_atom_site_fract_x
_atom_site_fract_y
_atom_site_fract_z
_atom_site_occupancy
Re1 0.249 0.000 0.250 1
Mo1 0.000 0.500 0.000 1
Pt1 0.000 0.000 0.500 1

---

# ReMo2Pt PBE relaxed
# calculated total energy: -80.47 eV per cell
# energy relative to the lowest polymorph listed for this composition: 0.116 eV/atom
# crystal system: monoclinic
data_ReMo2Pt
_cell_length_a 9.282
_cell_length_b 2.757
_cell_length_c 4.903
_cell_angle_alpha 90.00
_cell_angle_beta 99.11
_cell_angle_gamma 90.00
_symmetry_space_group_name_H-M 'C 1 m 1'
_symmetry_Int_Tables_number 8
loop_
_symmetry_equiv_pos_as_xyz
'x,y,z'
'x,-y,z'
'x+1/2,y+1/2,z'
'x+1/2,-y+1/2,z'
loop_
_atom_site_label
_atom_site_fract_x
_atom_site_fract_y
_atom_site_fract_z
_atom_site_occupancy
Re1 0.000 0.000 0.000 1
Mo1 0.250 0.000 0.762 1
Mo2 0.495 0.000 0.496 1
Pt1 0.246 0.500 0.257 1

---

# Re2MoPt PBE relaxed
# calculated total energy: -41.98 eV per cell
# energy relative to the lowest polymorph listed for this composition: 0.063 eV/atom
# crystal system: monoclinic
data_Re2MoPt
_cell_length_a 4.857
_cell_length_b 2.746
_cell_length_c 4.864
_cell_angle_alpha 90.00
_cell_angle_beta 110.32
_cell_angle_gamma 90.00
_symmetry_space_group_name_H-M 'P 1 2/m 1'
_symmetry_Int_Tables_number 10
loop_
_symmetry_equiv_pos_as_xyz
'x,y,z'
'-x,-y,-z'
'-x,y,-z'
'x,-y,z'
loop_
_atom_site_label
_atom_site_fract_x
_atom_site_fract_y
_atom_site_fract_z
_atom_site_occupancy
Re1 0.000 0.000 0.000 1
Re2 0.000 0.500 0.500 1
Mo1 0.500 0.000 0.500 1
Pt1 0.500 0.500 0.000 1

---

# ReMo2Pt PBE relaxed
# calculated total energy: -119.17 eV per cell
# energy relative to the lowest polymorph listed for this composition: 0.244 eV/atom
# crystal system: trigonal
data_ReMo2Pt
_cell_length_a 2.7687
_cell_length_b 2.7687
_cell_length_c 28.2012
_cell_angle_alpha 90.00
_cell_angle_beta 90.00
_cell_angle_gamma 120.00
_symmetry_space_group_name_H-M 'R 3 m'
_symmetry_Int_Tables_number 160
_symmetry_space_group_name_Hall 'R 3 -2"'
loop_
_atom_site_label
_atom_site_fract_x
_atom_site_fract_y
_atom_site_fract_z
_atom_site_occupancy
Re1 0.0000 0.0000 0.0000 1
Mo1 0.0000 0.0000 0.5016 1
Mo2 0.0000 0.0000 0.7482 1
Pt1 0.0000 0.0000 0.2506 1

---

Quick rundown of density of states at the Fermi level, same order as above: 1.62, 0.84, 0.88, 0.80, 1.15, 0.75, 0.72, 1.13 states/eV per atom
Quick rundown of DFT formation energy, same order as above: 1.9585, 2.8167, -0.0699, 0.1581, -0.0056, -0.0210, -0.0527, 0.1069 eV per atom